AgGe2Sb2 | PBE | optimized geometry

Cell lengths 5.588, 5.588, 5.588 Å; angles 120.85, 120.85, 88.54 degrees
Sites, in units of the cell vectors:
1 Ag 0.000 0.000 0.000
2 Ge 0.340 0.340 0.000
3 Ge 0.660 0.660 0.000
4 Sb 0.250 0.750 0.500
5 Sb 0.750 0.250 0.500

Values from the calculation:
The value obtained for the formation energy (no corrections) is 0.264 eV/atom. For the energy above the lowest structure with this stoichiometry, the calculation gives 0 meV per atom. The value obtained for the uncorrected energy is -0.140 hartree per atom. Its space group is I4/mmm (139).